! MnZnNi6 GGA-PBE relaxed; values from VASP
! Formation enthalpy at 0 K in eV per atom: -0.086
! E in eV/atom: -5.73
! ΔE to the lowest computed polymorph in eV/atom: 0.028
&SYSTEM
  ibrav = 0, nat = 8, ntyp = 3
/
ATOMIC_SPECIES
Mn 54.94 Mn.upf
Zn 65.41 Zn.upf
Ni 58.69 Ni.upf
CELL_PARAMETERS angstrom
5.071 0.000 0.000
-2.536 4.392 0.000
0.000 0.000 4.111
ATOMIC_POSITIONS angstrom
Mn 0.000 0.000 0.000
Zn 2.536 1.464 2.056
Ni -1.252 2.205 0.000
Ni 0.000 1.484 2.056
Ni -1.250 3.650 2.056
Ni 1.252 2.205 0.000
Ni 0.000 4.373 0.000
Ni 1.250 3.650 2.056



! CeYHo2Er5 GGA-PBE relaxed; values from VASP
! Formation enthalpy at 0 K in eV per atom: 0.177
! E in eV/atom: -4.75
&SYSTEM
  ibrav = 0, nat = 18, ntyp = 4
/
ATOMIC_SPECIES
Ce 140.12 Ce.upf
Y 88.91 Y.upf
Ho 164.93 Ho.upf
Er 167.26 Er.upf
CELL_PARAMETERS angstrom
2.823 -10.701 0.000
2.823 10.701 0.000
0.000 0.000 9.472
ATOMIC_POSITIONS angstrom
Ce 2.823 6.579 4.736
Ce 2.823 -6.579 0.000
Y 2.823 2.072 0.885
Y 2.823 -2.072 5.621
Ho 2.823 8.276 1.887
Ho 2.823 7.794 7.727
Ho 2.823 -7.794 2.991
Ho 2.823 -8.276 6.623
Er 2.823 10.423 4.798
Er 2.823 5.003 1.771
Er 2.823 4.130 7.618
Er 2.823 2.245 4.514
Er 2.823 0.623 7.328
Er 2.823 -0.623 2.592
Er 2.823 -2.245 9.250
Er 2.823 -4.130 2.882
Er 2.823 -5.003 6.507
Er 2.823 -10.423 0.062